# GdPtNO PBE optimized geometry
data_GdPtNO
_symmetry_space_group_name_H-M 'P 4/n m m'
_symmetry_Int_Tables_number 129
_cell_length_a 3.8886
_cell_length_b 3.8886
_cell_length_c 7.5327
_cell_angle_alpha 90.00
_cell_angle_beta 90.00
_cell_angle_gamma 90.00
loop_
_symmetry_equiv_pos_as_xyz
'x,y,z'
'-x,-y,-z'
'-y+1/2,x,z'
'y+1/2,-x,-z'
'-x+1/2,-y+1/2,z'
'x+1/2,y+1/2,-z'
'y,-x+1/2,z'
'-y,x+1/2,-z'
'x+1/2,-y,-z'
'-x+1/2,y,z'
'-y,-x,-z'
'y,x,z'
'-x,y+1/2,-z'
'x,-y+1/2,z'
'y+1/2,x+1/2,-z'
'-y+1/2,-x+1/2,z'
loop_
_atom_site_label
_atom_site_fract_x
_atom_site_fract_y
_atom_site_fract_z
_atom_site_occupancy
Gd1 0.2500 0.2500 0.1504 1
Pt1 0.2500 0.7500 0.5000 1
N1 0.2500 0.2500 0.6579 1
O1 0.2500 0.7500 0.0000 1
# ΔE to the lowest computed polymorph, meV/atom: 283
# Total energy, eV per atom: -7.032
# Crystal system: tetragonal

# MgZrReBi PBE optimized geometry
data_MgZrReBi
_symmetry_space_group_name_H-M 'F -4 3 m'
_symmetry_Int_Tables_number 216
_symmetry_space_group_name_Hall 'F -4 2 3'
_cell_length_a 6.8125
_cell_length_b 6.8125
_cell_length_c 6.8125
_cell_angle_alpha 90.00
_cell_angle_beta 90.00
_cell_angle_gamma 90.00
loop_
_atom_site_label
_atom_site_fract_x
_atom_site_fract_y
_atom_site_fract_z
_atom_site_occupancy
Mg1 0.0000 0.0000 0.0000 1
Zr1 0.2500 0.2500 0.7500 1
Re1 0.2500 0.2500 0.2500 1
Bi1 0.0000 0.0000 0.5000 1
# ΔE to the lowest computed polymorph, meV/atom: 222
# Total energy, eV per atom: -6.177
# Crystal system: cubic

# PbAu124 PBE optimized geometry
data_PbAu124
_symmetry_space_group_name_H-M 'F m -3 m'
_symmetry_Int_Tables_number 225
_symmetry_space_group_name_Hall '-F 4 2 3'
_cell_length_a 20.8103
_cell_length_b 20.8103
_cell_length_c 20.8103
_cell_angle_alpha 90.00
_cell_angle_beta 90.00
_cell_angle_gamma 90.00
loop_
_atom_site_label
_atom_site_fract_x
_atom_site_fract_y
_atom_site_fract_z
_atom_site_occupancy
Pb1 0.0000 0.0000 0.0000 1
Au1 0.0000 0.0000 0.1999 1
Au2 0.0000 0.0000 0.4001 1
Au3 0.0000 0.0999 0.3002 1
Au4 0.0000 0.1024 0.1024 1
Au5 0.0000 0.2008 0.2008 1
Au6 0.1004 0.1004 0.2007 1
Au7 0.1000 0.1000 0.4000 1
Au8 0.1002 0.1999 0.3001 1
Au9 0.2001 0.2001 0.2001 1
# Total energy, eV per atom: -3.273
# Crystal system: cubic

Copy entry 2 word for word.
# MgZrReBi PBE optimized geometry
data_MgZrReBi
_symmetry_space_group_name_H-M 'F -4 3 m'
_symmetry_Int_Tables_number 216
_symmetry_space_group_name_Hall 'F -4 2 3'
_cell_length_a 6.8125
_cell_length_b 6.8125
_cell_length_c 6.8125
_cell_angle_alpha 90.00
_cell_angle_beta 90.00
_cell_angle_gamma 90.00
loop_
_atom_site_label
_atom_site_fract_x
_atom_site_fract_y
_atom_site_fract_z
_atom_site_occupancy
Mg1 0.0000 0.0000 0.0000 1
Zr1 0.2500 0.2500 0.7500 1
Re1 0.2500 0.2500 0.2500 1
Bi1 0.0000 0.0000 0.5000 1
# ΔE to the lowest computed polymorph, meV/atom: 222
# Total energy, eV per atom: -6.177
# Crystal system: cubic

> The lowest total energy belongs to which entry?

GdPtNO

> What is the total energy in the third record?

-3.273 eV per atom